[1]
The following is a GGA-PBE calculation of Sr3Al2Cu3 after structural relaxation, from Alexandria via LeMat-Bulk. Values from VASP.

Results
Calculated formation energy   -0.027 eV/atom
DFT total energy   -50.1 eV for the cell shown
Space-group type   Cmcm, No. 63

Quantum ESPRESSO input file:
```
&SYSTEM
  ibrav = 0, nat = 16, ntyp = 3
/
ATOMIC_SPECIES
Cu 63.55 Cu.upf
Sr 87.62 Sr.upf
Al 26.98 Al.upf
ATOMIC_POSITIONS angstrom
Cu 2.089 7.136 13.110
Sr 0.000 5.473 6.742
Sr 0.000 5.473 0.385
Sr 2.089 0.250 3.563
Sr 0.000 7.308 10.690
Cu 0.000 0.423 5.983
Cu 0.000 4.168 10.690
Al 2.089 4.870 11.984
Al 0.000 2.689 4.857
Cu 0.000 0.423 1.144
Al 2.089 4.870 9.396
Sr 2.089 2.086 13.869
Cu 2.089 7.136 8.271
Al 0.000 2.689 2.269
Sr 2.089 2.086 7.512
Cu 2.089 3.391 3.563
CELL_PARAMETERS angstrom
4.177 0.000 0.000
-2.089 7.559 0.000
0.000 0.000 14.254
```

---

[2]
The following is a GGA-PBE calculation of Sr2AlCu after structural relaxation, from Alexandria via LeMat-Bulk. Values from VASP.

Results
Calculated formation energy   0.138 eV/atom
DFT total energy   -10.6 eV for the cell shown
Space-group type   F-43m, No. 216

Quantum ESPRESSO input file:
```
&SYSTEM
  ibrav = 0, nat = 4, ntyp = 3
/
ATOMIC_SPECIES
Cu 63.55 Cu.upf
Sr 87.62 Sr.upf
Al 26.98 Al.upf
ATOMIC_POSITIONS angstrom
Cu 0.663 1.271 9.528
Sr 0.000 0.000 0.000
Al 0.442 0.847 6.352
Sr 0.221 0.424 3.176
CELL_PARAMETERS angstrom
-2.446 -0.673 4.591
2.766 -1.184 4.296
0.564 3.552 3.818
```

---

[3]
The following is a GGA-PBE calculation of Sr3AlCu after structural relaxation, from Alexandria via LeMat-Bulk. Values from VASP.

Results
Calculated formation energy   0.183 eV/atom
DFT total energy   -12.0 eV for the cell shown
Space-group type   Pm-3m, No. 221

Quantum ESPRESSO input file:
```
&SYSTEM
  ibrav = 0, nat = 5, ntyp = 3
/
ATOMIC_SPECIES
Sr 87.62 Sr.upf
Al 26.98 Al.upf
Cu 63.55 Cu.upf
ATOMIC_POSITIONS angstrom
Sr 0.000 0.000 2.903
Al 2.903 2.903 2.903
Sr 2.903 0.000 0.000
Cu 0.000 0.000 0.000
Sr 0.000 2.903 0.000
CELL_PARAMETERS angstrom
5.806 0.000 0.000
0.000 5.806 0.000
0.000 0.000 5.806
```

---

[4]
The following is a GGA-PBE calculation of Sr4AlCu after structural relaxation, from Alexandria via LeMat-Bulk. Values from VASP.

Results
Calculated formation energy   0.738 eV/atom
DFT total energy   -10.1 eV for the cell shown
Space-group type   F-43m, No. 216

Quantum ESPRESSO input file:
```
&SYSTEM
  ibrav = 0, nat = 6, ntyp = 3
/
ATOMIC_SPECIES
Sr 87.62 Sr.upf
Cu 63.55 Cu.upf
Al 26.98 Al.upf
ATOMIC_POSITIONS angstrom
Sr 3.728 3.728 3.728
Sr 6.203 6.203 3.728
Sr 3.728 6.203 6.203
Cu 0.000 0.000 0.000
Al 7.449 7.449 7.449
Sr 6.203 3.728 6.203
CELL_PARAMETERS angstrom
0.000 4.966 4.966
4.966 0.000 4.966
4.966 4.966 0.000
```

---

[5]
The following is a GGA-PBE calculation of SrAlCu2 after structural relaxation, from Alexandria via LeMat-Bulk. Values from VASP.

Results
Calculated formation energy   0.161 eV/atom
DFT total energy   -13.0 eV for the cell shown
Space-group type   Imm2, No. 44

Quantum ESPRESSO input file:
```
&SYSTEM
  ibrav = 0, nat = 4, ntyp = 3
/
ATOMIC_SPECIES
Sr 87.62 Sr.upf
Al 26.98 Al.upf
Cu 63.55 Cu.upf
ATOMIC_POSITIONS angstrom
Sr -1.915 -2.626 3.186
Al 0.771 -1.232 2.090
Cu -3.791 -5.199 6.307
Cu -1.641 0.554 3.312
CELL_PARAMETERS angstrom
-3.962 -0.341 3.802
0.155 -4.881 2.533
2.943 4.552 -0.943
```

---

[6]
The following is a GGA-PBE calculation of SrAl3Cu3 after structural relaxation, from Alexandria via LeMat-Bulk. Values from VASP.

Results
Calculated formation energy   -0.059 eV/atom
DFT total energy   -51.2 eV for the cell shown
Space-group type   R-3, No. 148

Quantum ESPRESSO input file:
```
&SYSTEM
  ibrav = 0, nat = 14, ntyp = 3
/
ATOMIC_SPECIES
Cu 63.55 Cu.upf
Sr 87.62 Sr.upf
Al 26.98 Al.upf
ATOMIC_POSITIONS angstrom
Cu -1.725 -3.231 5.187
Cu -5.103 -0.756 9.568
Sr -1.998 -0.384 10.311
Al -2.732 -1.012 5.387
Cu -1.625 -3.431 9.357
Cu -5.203 -0.556 5.398
Al -5.735 -1.938 7.344
Al -4.096 -2.975 9.368
Al -2.835 -4.235 7.205
Cu -1.575 0.410 7.225
Sr -4.830 -3.603 4.444
Cu -5.253 -4.397 7.530
Al -3.993 0.248 7.550
Al -1.093 -2.049 7.410
CELL_PARAMETERS angstrom
-5.766 -0.300 2.948
-1.543 -5.177 3.585
0.481 1.490 8.222
```

---

[7]
The following is a GGA-PBE calculation of SrAlCu after structural relaxation, from Alexandria via LeMat-Bulk. Values from VASP.

Results
Calculated formation energy   -0.036 eV/atom
DFT total energy   -9.6 eV for the cell shown
Space-group type   I4mm, No. 107

Quantum ESPRESSO input file:
```
&SYSTEM
  ibrav = 0, nat = 3, ntyp = 3
/
ATOMIC_SPECIES
Sr 87.62 Sr.upf
Al 26.98 Al.upf
Cu 63.55 Cu.upf
ATOMIC_POSITIONS angstrom
Sr 7.922 2.257 1.179
Al 10.916 3.111 0.254
Cu 4.900 1.395 2.113
CELL_PARAMETERS angstrom
6.173 -0.048 0.052
5.220 3.295 0.054
0.953 0.270 3.333
```

---

[8]
The following is a GGA-PBE calculation of Sr2AlCu after structural relaxation, from Alexandria via LeMat-Bulk. Values from VASP.

Results
Calculated formation energy   -0.119 eV/atom
DFT total energy   -11.7 eV for the cell shown
Space-group type   Amm2, No. 38

Quantum ESPRESSO input file:
```
&SYSTEM
  ibrav = 0, nat = 4, ntyp = 3
/
ATOMIC_SPECIES
Sr 87.62 Sr.upf
Cu 63.55 Cu.upf
Al 26.98 Al.upf
ATOMIC_POSITIONS angstrom
Sr 0.000 7.112 5.163
Cu 2.241 4.635 4.054
Sr 2.241 2.164 1.885
Al 0.000 4.638 2.995
CELL_PARAMETERS angstrom
4.481 0.000 0.000
0.000 4.947 0.005
0.000 2.472 5.633
```

---

[9]
The following is a GGA-PBE calculation of SrAlCu2 after structural relaxation, from Alexandria via LeMat-Bulk. Values from VASP.

Results
Calculated formation energy   -0.007 eV/atom
DFT total energy   -27.3 eV for the cell shown
Space-group type   I4_1/amd, No. 141

Quantum ESPRESSO input file:
```
&SYSTEM
  ibrav = 0, nat = 8, ntyp = 3
/
ATOMIC_SPECIES
Al 26.98 Al.upf
Cu 63.55 Cu.upf
Sr 87.62 Sr.upf
ATOMIC_POSITIONS angstrom
Al 2.419 4.837 4.185
Cu 3.628 4.838 6.277
Cu 2.418 1.209 2.092
Cu 6.047 4.836 6.277
Cu 2.420 3.628 2.092
Sr 4.837 2.419 4.185
Sr 0.000 0.000 0.000
Al 2.419 2.419 0.000
CELL_PARAMETERS angstrom
4.837 0.000 0.000
0.000 4.837 0.000
2.419 2.419 8.370
```

---

[10]
The following is a GGA-PBE calculation of SrAlCu2 after structural relaxation, from Alexandria via LeMat-Bulk. Values from VASP.

Results
Calculated formation energy   0.046 eV/atom
DFT total energy   -13.4 eV for the cell shown
Space-group type   P4mm, No. 99

Quantum ESPRESSO input file:
```
&SYSTEM
  ibrav = 0, nat = 4, ntyp = 3
/
ATOMIC_SPECIES
Cu 63.55 Cu.upf
Al 26.98 Al.upf
Sr 87.62 Sr.upf
ATOMIC_POSITIONS angstrom
Cu -0.987 0.232 2.420
Al 1.540 2.545 5.786
Sr 1.867 1.710 2.488
Cu 0.051 0.047 0.068
CELL_PARAMETERS angstrom
-2.670 1.575 0.922
-0.659 -2.353 2.111
3.867 3.541 5.152
```

---

[11]
The following is a GGA-PBE calculation of Sr2AlCu after structural relaxation, from Alexandria via LeMat-Bulk. Values from VASP.

Results
Calculated formation energy   0.283 eV/atom
DFT total energy   -20.1 eV for the cell shown
Space-group type   I-42d, No. 122

Quantum ESPRESSO input file:
```
&SYSTEM
  ibrav = 0, nat = 8, ntyp = 3
/
ATOMIC_SPECIES
Sr 87.62 Sr.upf
Cu 63.55 Cu.upf
Al 26.98 Al.upf
ATOMIC_POSITIONS angstrom
Sr -4.756 0.246 5.303
Sr -6.145 -3.880 5.787
Cu 0.000 0.000 0.000
Sr -11.659 -6.150 8.386
Cu -6.695 -1.226 7.004
Al -5.149 -1.815 2.667
Sr -4.612 -4.800 1.199
Al -6.890 -6.065 3.334
CELL_PARAMETERS angstrom
-4.954 3.024 6.337
-5.344 -6.654 -1.002
-3.288 -3.661 5.003
```

---

[12]
The following is a GGA-PBE calculation of Sr2Al12Cu7 after structural relaxation, from Alexandria via LeMat-Bulk. Values from VASP.

Results
Calculated formation energy   -0.224 eV/atom
DFT total energy   -81.7 eV for the cell shown
Space-group type   P-3, No. 147

Quantum ESPRESSO input file:
```
&SYSTEM
  ibrav = 0, nat = 21, ntyp = 3
/
ATOMIC_SPECIES
Sr 87.62 Sr.upf
Cu 63.55 Cu.upf
Al 26.98 Al.upf
ATOMIC_POSITIONS angstrom
Sr -6.311 -1.783 0.613
Cu -4.957 -4.636 0.115
Al -3.350 -0.227 1.773
Cu -0.451 -4.890 5.499
Cu -7.368 -2.090 -2.389
Al -0.681 -2.580 4.388
Al -7.138 -4.400 -1.279
Cu -2.862 -2.344 2.995
Al -0.779 -1.859 1.565
Cu -3.665 -0.618 -0.750
Al -4.469 -6.753 1.337
Al -7.040 -5.121 1.545
Al -3.153 -2.841 0.496
Al -2.092 -6.897 5.304
Al -4.666 -4.139 2.614
Al -8.551 0.002 -1.471
Al 0.732 -6.982 4.581
Cu -0.983 0.666 1.623
Cu -4.154 -6.362 3.860
Sr -1.508 -5.197 2.497
Al -5.727 -0.083 -2.194
CELL_PARAMETERS angstrom
-1.966 1.331 3.246
-8.697 -0.007 -5.264
2.844 -8.305 5.128
```

---

[13]
The following is a GGA-PBE calculation of Sr2Al5Cu5 after structural relaxation, from Alexandria via LeMat-Bulk. Values from VASP.

Results
Calculated formation energy   -0.264 eV/atom
DFT total energy   -45.7 eV for the cell shown
Space-group type   Pmmm, No. 47

Quantum ESPRESSO input file:
```
&SYSTEM
  ibrav = 0, nat = 12, ntyp = 3
/
ATOMIC_SPECIES
Sr 87.62 Sr.upf
Al 26.98 Al.upf
Cu 63.55 Cu.upf
ATOMIC_POSITIONS angstrom
Sr 1.457 0.883 2.166
Al -1.358 -0.802 2.993
Al -2.688 0.297 5.195
Cu -1.294 0.413 0.702
Cu -3.913 2.596 5.081
Cu -1.197 1.730 3.607
Al -4.018 1.395 7.396
Cu -0.133 -1.866 0.851
Al 0.100 0.082 5.161
Sr -4.012 1.280 2.178
Cu -6.730 2.147 3.653
Al -5.476 0.511 5.228
CELL_PARAMETERS angstrom
-0.267 -3.733 1.702
2.915 1.767 4.332
-8.024 2.559 4.355
```

---

[14]
The following is a GGA-PBE calculation of SrAl2Cu5 after structural relaxation, from Alexandria via LeMat-Bulk. Values from VASP.

Results
Calculated formation energy   -0.088 eV/atom
DFT total energy   -30.4 eV for the cell shown
Space-group type   Immm, No. 71

Quantum ESPRESSO input file:
```
&SYSTEM
  ibrav = 0, nat = 8, ntyp = 3
/
ATOMIC_SPECIES
Cu 63.55 Cu.upf
Al 26.98 Al.upf
Sr 87.62 Sr.upf
ATOMIC_POSITIONS angstrom
Cu 4.635 3.418 5.096
Cu 1.222 2.314 5.005
Cu 2.533 3.651 3.486
Cu 3.491 1.209 4.077
Al 4.309 4.309 7.511
Al 1.549 1.424 2.590
Cu 3.324 2.082 6.614
Sr 0.000 0.000 0.000
CELL_PARAMETERS angstrom
-1.124 3.314 1.947
1.695 -0.622 6.157
5.286 3.040 1.997
```

---

[15]
The following is a GGA-PBE calculation of SrAlCu2 after structural relaxation, from Alexandria via LeMat-Bulk. Values from VASP.

Results
Calculated formation energy   0.190 eV/atom
DFT total energy   -12.9 eV for the cell shown
Space-group type   P4/mmm, No. 123

Quantum ESPRESSO input file:
```
&SYSTEM
  ibrav = 0, nat = 4, ntyp = 3
/
ATOMIC_SPECIES
Al 26.98 Al.upf
Cu 63.55 Cu.upf
Sr 87.62 Sr.upf
ATOMIC_POSITIONS angstrom
Al -1.722 0.377 2.393
Cu 0.000 0.000 0.000
Cu -2.327 -2.150 0.952
Sr -2.875 0.256 -0.705
CELL_PARAMETERS angstrom
-3.479 -2.271 -2.146
-1.174 -2.029 4.050
-2.271 2.783 0.736
```

---

[16]
The following is a GGA-PBE calculation of SrAl5Cu3 after structural relaxation, from Alexandria via LeMat-Bulk. Values from VASP.

Results
Calculated formation energy   -0.253 eV/atom
DFT total energy   -69.9 eV for the cell shown
Space-group type   Cmcm, No. 63

Quantum ESPRESSO input file:
```
&SYSTEM
  ibrav = 0, nat = 18, ntyp = 3
/
ATOMIC_SPECIES
Sr 87.62 Sr.upf
Al 26.98 Al.upf
Cu 63.55 Cu.upf
ATOMIC_POSITIONS angstrom
Sr 0.000 1.998 3.195
Al 0.000 2.526 11.948
Cu 2.005 1.397 5.871
Al 2.005 3.814 5.559
Al 2.005 3.814 0.830
Al 0.000 2.526 7.219
Cu 2.005 4.700 3.195
Al 2.005 0.751 8.292
Al 2.005 0.751 10.875
Al 0.000 5.590 4.486
Cu 2.005 1.397 0.518
Cu 0.000 4.944 6.907
Cu 0.000 1.640 9.584
Al 0.000 0.000 0.000
Cu 0.000 4.944 12.261
Sr 2.005 4.343 9.584
Al 0.000 0.000 6.389
Al 0.000 5.590 1.903
CELL_PARAMETERS angstrom
4.009 0.000 0.000
-2.005 6.340 0.000
0.000 0.000 12.778
```

---

[17]
The following is a GGA-PBE calculation of Sr4Al3Cu2 after structural relaxation, from Alexandria via LeMat-Bulk. Values from VASP.

Results
Calculated formation energy   -0.151 eV/atom
DFT total energy   -27.5 eV for the cell shown
Space-group type   C2/m, No. 12

Quantum ESPRESSO input file:
```
&SYSTEM
  ibrav = 0, nat = 9, ntyp = 3
/
ATOMIC_SPECIES
Sr 87.62 Sr.upf
Al 26.98 Al.upf
Cu 63.55 Cu.upf
ATOMIC_POSITIONS angstrom
Sr 3.378 -3.339 -0.886
Al 1.290 -0.659 -1.657
Cu 0.360 -2.707 -2.889
Al 5.270 -4.344 -3.572
Sr 3.183 -1.664 -4.342
Al -0.379 -0.481 -3.879
Sr -0.038 -3.100 -6.238
Cu 6.200 -2.296 -2.340
Sr 6.599 -1.903 1.009
CELL_PARAMETERS angstrom
-1.195 -3.831 0.592
-0.758 -0.963 -7.758
8.514 -0.209 1.938
```

---

[18]
The following is a GGA-PBE calculation of SrAl2Cu2 after structural relaxation, from Alexandria via LeMat-Bulk. Values from VASP.

Results
Calculated formation energy   0.013 eV/atom
DFT total energy   -34.6 eV for the cell shown
Space-group type   P4/mbm, No. 127

Quantum ESPRESSO input file:
```
&SYSTEM
  ibrav = 0, nat = 10, ntyp = 3
/
ATOMIC_SPECIES
Cu 63.55 Cu.upf
Al 26.98 Al.upf
Sr 87.62 Sr.upf
ATOMIC_POSITIONS angstrom
Cu 1.503 -2.496 1.531
Al 4.057 -7.526 0.156
Cu 6.266 -5.895 0.349
Al 6.162 -4.052 -1.616
Sr 3.354 -4.507 -0.302
Sr 0.000 0.000 0.000
Cu 2.495 -6.555 2.126
Al 2.651 -1.488 -0.759
Al 0.546 -4.962 1.012
Cu 5.274 -1.835 -0.247
CELL_PARAMETERS angstrom
-0.616 -7.628 2.178
7.324 -1.386 -2.782
1.061 0.623 2.483
```

---

[19]
The following is a GGA-PBE calculation of Sr2AlCu after structural relaxation, from Alexandria via LeMat-Bulk. Values from VASP.

Results
Calculated formation energy   0.147 eV/atom
DFT total energy   -10.6 eV for the cell shown
Space-group type   C2/m, No. 12

Quantum ESPRESSO input file:
```
&SYSTEM
  ibrav = 0, nat = 4, ntyp = 3
/
ATOMIC_SPECIES
Sr 87.62 Sr.upf
Cu 63.55 Cu.upf
Al 26.98 Al.upf
ATOMIC_POSITIONS angstrom
Sr -1.769 -3.912 -6.061
Cu -1.836 -2.530 -0.926
Al -5.508 -7.589 -2.777
Sr -3.557 -4.946 -1.955
CELL_PARAMETERS angstrom
-2.461 -0.575 -3.460
0.807 -3.224 -2.705
-5.691 -6.320 2.462
```

---

[20]
The following is a GGA-PBE calculation of SrAl4Cu4 after structural relaxation, from Alexandria via LeMat-Bulk. Values from VASP.

Results
Calculated formation energy   -0.227 eV/atom
DFT total energy   -70.2 eV for the cell shown
Space-group type   I4/m, No. 87

Quantum ESPRESSO input file:
```
&SYSTEM
  ibrav = 0, nat = 18, ntyp = 3
/
ATOMIC_SPECIES
Cu 63.55 Cu.upf
Al 26.98 Al.upf
Sr 87.62 Sr.upf
ATOMIC_POSITIONS angstrom
Cu 0.298 -2.769 -1.655
Cu -1.916 -3.181 -0.201
Al -3.762 -4.127 1.107
Sr 0.000 0.000 0.000
Cu -1.643 -6.899 -5.452
Cu -5.072 -5.531 -0.546
Al -1.363 -10.006 -1.424
Cu -4.540 -5.479 -3.172
Cu -0.052 -8.603 0.229
Al -3.489 -7.845 -4.144
Sr -1.617 -5.951 -1.856
Al 2.185 -4.459 -1.716
Al 0.958 -8.333 -1.990
Cu -1.319 -8.720 -3.511
Al -4.193 -3.568 -1.723
Cu 1.305 -6.423 -0.539
Al -3.530 -5.209 -5.391
Al 0.254 -4.056 0.432
CELL_PARAMETERS angstrom
-1.890 -2.233 3.395
-6.105 -2.826 -5.257
4.760 -6.842 -1.850
```